DFT (GGA-PBE) results for a relaxed Mg2TlAg2 crystal.

Output
**N(E_F)**: 3.5 states/eV/cell
**Excess energy over the best structure of this formula in the dataset**: 20 kJ/mol of formula units
**SG**: P4/mbm (127)
**Uncorrected energy**: -2.32 eV per atom

Cell lengths 8.148, 8.148, 3.216 Å; angles 90.00, 90.00, 90.00 degrees
Sites, in units of the cell vectors:
Tl: 0.000 0.000 0.000
Tl: 0.500 0.500 0.000
Mg: 0.360 0.860 0.000
Mg: 0.860 0.640 0.000
Mg: 0.640 0.140 0.000
Mg: 0.140 0.360 0.000
Ag: 0.152 0.652 0.500
Ag: 0.652 0.848 0.500
Ag: 0.848 0.348 0.500
Ag: 0.348 0.152 0.500